(1)
Entry from Alexandria: a relaxed structure of Cd3In2Ag3 (PBE-GGA).

Values from the calculation:
N(E_F)   0.4233 states/eV/atom

Geometry as CIF:
```
data_Cd3In2Ag3
_chemical_formula_sum 'Cd6 In4 Ag6'
_cell_length_a 4.489
_cell_length_b 4.540
_cell_length_c 16.696
_cell_angle_alpha 90.00
_cell_angle_beta 90.00
_cell_angle_gamma 90.00
_space_group_name_H-M_alt 'I m m m'
_space_group_IT_number 71
_space_group_name_Hall '-I 2 2'
loop_
_atom_site_label
_atom_site_fract_x
_atom_site_fract_y
_atom_site_fract_z
Cd1 0.000 0.000 0.000
Cd2 0.000 0.500 0.117
In1 0.000 0.000 0.250
Ag1 0.000 0.000 0.500
Ag2 0.000 0.500 0.382
```



(2)
Entry from Alexandria: a relaxed structure of CdInAg3 (PBE-GGA).

Values from the calculation:
N(E_F)   0.1719 states/eV/atom
Energy relative to the lowest polymorph listed for this composition   24.9 meV per atom

Geometry as CIF:
```
data_CdInAg3
_chemical_formula_sum 'Cd4 In4 Ag12'
_cell_length_a 7.205
_cell_length_b 7.265
_cell_length_c 10.168
_cell_angle_alpha 90.00
_cell_angle_beta 132.38
_cell_angle_gamma 90.00
_space_group_name_H-M_alt 'P 1 21/c 1'
_space_group_IT_number 14
loop_
_space_group_symop_operation_xyz
'x,y,z'
'-x,-y,-z'
'-x,y+1/2,-z+1/2'
'x,-y+1/2,z+1/2'
loop_
_atom_site_label
_atom_site_fract_x
_atom_site_fract_y
_atom_site_fract_z
Cd1 0.188 0.151 0.045
In1 0.376 0.638 0.836
Ag1 0.013 0.621 0.272
Ag2 0.207 0.601 0.044
Ag3 0.408 0.120 0.854
```



Calculated values (meV/atom) of E_form for the records, taken in order: 28, -1.